## SmTmGa (PBE)

Data for SmTmGa after structural relaxation.

Unit cell a=3.4885 b=3.4885 c=6.9855 alpha=104.46 beta=104.46 gamma=90.00
Atoms (fractional coordinates):
Sm  0.0191  0.0191  0.0381
Ga  0.6713  0.6713  0.3426
Tm  0.3096  0.3096  0.6193

Summary:
The calculation puts the calculated volume at 26.5 Å³/atom. As for the space-group type: No. 107. The calculation puts the density of states at the Fermi level at 0.639 states/eV per atom. The polymorph energy (0 for the lowest one) is 0.006 eV per atom. Its formation enthalpy at 0 K is -0.362 eV/atom.